[1]
## RbTbGeSe4 (PBE-GGA)

Data for RbTbGeSe4 after structural relaxation. Values from VASP.

```
&SYSTEM
  ibrav = 0, nat = 14, ntyp = 4
/
ATOMIC_SPECIES
Rb 85.47 Rb.upf
Tb 158.93 Tb.upf
Ge 72.64 Ge.upf
Se 78.96 Se.upf
ATOMIC_POSITIONS angstrom
Rb 1.524 1.769 0.533
Rb 2.319 5.308 8.499
Tb -0.082 1.769 4.973
Tb 3.926 5.308 4.059
Ge 0.532 5.308 3.008
Ge 3.311 1.769 6.024
Se -1.974 3.602 6.358
Se -1.974 7.014 6.358
Se 2.383 5.308 1.559
Se 1.279 5.308 5.244
Se 2.564 1.769 3.788
Se 1.461 1.769 7.473
Se 5.817 0.063 2.674
Se 5.817 3.475 2.674
CELL_PARAMETERS angstrom
6.785 0.000 0.000
0.000 7.077 0.000
-2.942 0.000 9.032
```

Values from the calculation:
Formation energy from raw total energies ... -1127 meV per atom
Space-group type ... No. 11
Energy ... -4.58 eV per atom

***

[2]
## HgGe (PBE-GGA)

Data for HgGe after structural relaxation. Values from VASP.

```
&SYSTEM
  ibrav = 0, nat = 12, ntyp = 2
/
ATOMIC_SPECIES
Hg 200.59 Hg.upf
Ge 72.64 Ge.upf
ATOMIC_POSITIONS angstrom
Hg -1.880 7.229 0.990
Hg 0.182 4.289 0.990
Hg 3.806 1.987 2.969
Hg 1.698 7.545 0.990
Hg 5.321 5.242 2.969
Hg 7.383 2.302 2.969
Ge -3.071 5.538 2.969
Ge 2.243 4.103 2.969
Ge 4.675 0.109 0.990
Ge 0.828 9.423 2.969
Ge 3.260 5.429 0.990
Ge 8.575 3.994 0.990
CELL_PARAMETERS angstrom
11.006 0.000 0.000
-5.503 9.532 0.000
0.000 0.000 3.959
```

Values from the calculation:
DOS at the Fermi energy ... 0.1904 states/eV per atom
Space-group type ... No. 176
Energy ... -2.20 eV per atom
ΔE_f ... 0.2634 eV per atom
Relative energy among the computed polymorphs ... 114 meV/atom

***

[3]
## CsHgI2 (PBE-GGA)

Data for CsHgI2 after structural relaxation. Values from VASP.

```
&SYSTEM
  ibrav = 0, nat = 4, ntyp = 3
/
ATOMIC_SPECIES
Cs 132.91 Cs.upf
Hg 200.59 Hg.upf
I 126.90 I.upf
ATOMIC_POSITIONS angstrom
Cs 0.000 0.000 0.000
Hg 0.000 0.000 14.368
I 0.000 0.000 11.384
I 0.000 0.000 17.353
CELL_PARAMETERS angstrom
3.006 1.735 9.579
-3.006 1.735 9.579
0.000 -3.471 9.579
```

Values from the calculation:
DOS at the Fermi energy ... 0.8042 states/eV per atom
Formation energy from raw total energies ... -696 meV per atom
Space-group type ... No. 166
Energy ... -1.76 eV per atom
Relative energy among the computed polymorphs ... 154 meV/atom

***

[4]
## NiIr2Ru4Pt (PBE-GGA)

Data for NiIr2Ru4Pt after structural relaxation. Values from VASP.

```
&SYSTEM
  ibrav = 0, nat = 8, ntyp = 4
/
ATOMIC_SPECIES
Ni 58.69 Ni.upf
Ir 192.22 Ir.upf
Ru 101.07 Ru.upf
Pt 195.08 Pt.upf
ATOMIC_POSITIONS angstrom
Ni 0.000 0.000 0.000
Ir -1.019 1.736 3.176
Ir 1.946 0.000 3.176
Ru -0.083 0.000 4.660
Ru 0.932 1.736 1.666
Ru 2.959 1.736 4.686
Ru 3.974 0.000 1.692
Pt 2.965 1.736 0.000
CELL_PARAMETERS angstrom
5.929 0.000 0.000
0.000 3.473 0.000
-2.038 0.000 6.351
```

Values from the calculation:
DOS at the Fermi energy ... 1.5109 states/eV per atom
Space-group type ... No. 10
Energy ... -7.35 eV per atom
ΔE_f ... 0.9760 eV per atom